Computed, not measured: a relaxed Ac3AgPt8 crystal at the GGA-PBE level of DFT.

Unit cell a=5.5840 b=5.5840 c=27.3829 alpha=90.00 beta=90.00 gamma=120.00
Last column: nearest neighbours and their distance in Å.
Space group R3m (No. 160, hexagonal axes)
Asymmetric unit:
Ac 0.0000 0.0000 0.0000 x3  12 Pt 3.26-3.32, 4 Ac 3.55-3.56
Ac 0.0000 0.0000 0.1299 x3  12 Pt 3.12-3.37, 3 Ag 3.31
Ac 0.0000 0.0000 0.6126 x3  9 Pt 3.14-3.34, 1 Ag 3.33
Ag 0.0000 0.0000 0.4911 x3  12 Pt 3.10-3.38, 4 Ac 3.31-3.33
Pt 0.0000 0.0000 0.3107 x3  6 Pt 2.80
Pt 0.0000 0.0000 0.8113 x3  6 Pt 2.77-2.80
Pt 0.0008 0.5004 0.0611 x9  6 Pt 2.79-2.80, 1 Ag 3.10
Pt 0.0026 0.5013 0.5606 x9  6 Pt 2.77-2.81

Properties
Its formation energy from the elements is -0.8923 eV per atom.

---

Computed, not measured: a relaxed AcAgPt crystal at the GGA-PBE level of DFT.

Unit cell a=4.7327 b=4.7327 c=3.9599 alpha=90.00 beta=90.00 gamma=120.00
Last column: nearest neighbours and their distance in Å.
Space group P-6m2 (No. 187)
Asymmetric unit:
Ac 0.0000 0.0000 0.0000 x1  6 Pt 3.37, 6 Ag 3.37
Ag 0.6667 0.3333 0.5000 x1  3 Pt 2.73
Pt 0.3333 0.6667 0.5000 x1  3 Ag 2.73

Properties
The offset from the most stable computed form is 72 meV per atom. Its formation energy from the elements is -0.6929 eV per atom.

---

Computed, not measured: a relaxed Ac3Ag2Pt crystal at the GGA-PBE level of DFT.

Unit cell a=4.3946 b=6.3973 c=14.2778 alpha=90.00 beta=90.00 gamma=90.00
Last column: nearest neighbours and their distance in Å.
Space group Immm (No. 71)
Asymmetric unit:
Ac 0.0000 0.0000 0.0000 x2  2 Pt 3.20, 4 Ag 3.33
Ac 0.0000 0.0000 0.3523 x4  2 Pt 3.05, 4 Ag 3.22-3.35
Ag 0.0000 0.5000 0.3251 x4  6 Ac 3.22-3.35
Pt 0.0000 0.5000 0.0000 x2  6 Ac 3.05-3.20

Properties
Its formation energy from the elements is -0.5036 eV per atom.

---

Computed, not measured: a relaxed Ac8AgPt4 crystal at the GGA-PBE level of DFT.

Unit cell a=19.5825 b=4.4137 c=13.9692 alpha=90.00 beta=131.18 gamma=90.00
Last column: nearest neighbours and their distance in Å.
Space group Cm (No. 8)
Asymmetric unit:
Ac 0.0000 0.0000 0.0000 x2  4 Pt 3.07-3.34
Ac 0.0055 0.0000 0.5654 x2  3 Pt 3.04-3.07
Ac 0.0824 0.0000 0.3561 x2  2 Pt 3.05
Ac 0.1440 0.5000 0.9202 x2  3 Pt 3.03-3.28
Ac 0.2209 0.5000 0.2933 x2  3 Pt 3.03-3.27
Ac 0.2825 0.0000 0.8577 x2  2 Pt 3.05
Ac 0.3594 0.0000 0.6484 x2  3 Pt 3.04-3.07
Ac 0.3649 0.0000 0.2137 x2  4 Pt 3.07-3.34
Ag 0.1819 0.5000 0.6069 x2  8 Ac 3.46-3.83
Pt 0.0037 0.0000 0.7815 x2  6 Ac 3.03-3.10
Pt 0.0070 0.5000 0.1585 x2  6 Ac 3.05-3.34, 2 Pt 3.15
Pt 0.3582 0.5000 0.0554 x2  6 Ac 3.05-3.34, 2 Pt 3.15
Pt 0.3611 0.0000 0.4322 x2  6 Ac 3.03-3.10

Properties
Its formation energy from the elements is -0.7397 eV per atom.

---

Computed, not measured: a relaxed Ac2AgPt crystal at the GGA-PBE level of DFT.

Unit cell a=4.4650 b=4.4650 c=22.7250 alpha=90.00 beta=90.00 gamma=120.00
Last column: nearest neighbours and their distance in Å.
Space group R-3m (No. 166, hexagonal axes)
Asymmetric unit:
Ac 0.0000 0.0000 0.2411 x6  3 Pt 3.08, 3 Ag 3.32
Ag 0.0000 0.0000 0.0000 x3  6 Ac 3.32
Pt 0.0000 0.0000 0.5000 x3  6 Ac 3.08

Properties
Its formation energy from the elements is -0.7100 eV per atom.

---

Computed, not measured: a relaxed AcAgPt crystal at the GGA-PBE level of DFT.

Unit cell a=7.7134 b=4.2924 c=13.4263 alpha=90.00 beta=90.46 gamma=90.00
Last column: nearest neighbours and their distance in Å.
Space group P2_1/m (No. 11)
Asymmetric unit:
Ac 0.0557 0.2500 0.3769 x2  5 Pt 3.11-3.18, 2 Ag 3.46
Ac 0.1656 0.2500 0.0832 x2  5 Pt 3.09-3.18, 3 Ag 3.36-3.41
Ac 0.4383 0.7500 0.7143 x2  5 Pt 3.16-3.20, 7 Ag 3.42-3.50
Ag 0.1208 0.2500 0.7992 x2  4 Pt 2.87-3.03
Ag 0.3818 0.7500 0.4614 x2  4 Pt 2.93-3.00, 2 Ag 3.00
Ag 0.4908 0.2500 0.9186 x2  4 Pt 2.88-2.97, 2 Ag 3.07
Pt 0.2378 0.2500 0.5847 x2  4 Ag 2.93-3.03, 5 Ac 3.11-3.17
Pt 0.2428 0.7500 0.9238 x2  5 Ag 2.87-2.94, 4 Ac 3.09-3.20
Pt 0.2617 0.7500 0.2495 x2  3 Ag 2.97-3.02, 6 Ac 3.18-3.19

Properties
The offset from the most stable computed form is 0 meV per atom. Its formation energy from the elements is -0.7645 eV per atom.

---

Computed, not measured: a relaxed AcAgPt crystal at the GGA-PBE level of DFT.

Unit cell a=5.3545 b=4.3492 c=6.8963 alpha=90.00 beta=90.00 gamma=90.00
Last column: nearest neighbours and their distance in Å.
Space group Pmma (No. 51)
Asymmetric unit:
Ac 0.2500 0.0000 0.2438 x2  4 Pt 3.06
Ag 0.2500 0.5000 0.6279 x2  2 Pt 2.89, 2 Ag 3.21
Pt 0.0000 0.5000 0.0000 x2  2 Pt 2.68, 2 Ag 2.89

Properties
The offset from the most stable computed form is 86 meV per atom. Its formation energy from the elements is -0.6781 eV per atom.

---

Computed, not measured: a relaxed Ac2AgPt crystal at the GGA-PBE level of DFT.

Unit cell a=3.8578 b=3.8578 c=7.7959 alpha=90.00 beta=90.00 gamma=90.00
Last column: nearest neighbours and their distance in Å.
Space group P4/mmm (No. 123)
Asymmetric unit:
Ac 0.0000 0.0000 0.2322 x2  4 Pt 3.27, 4 Ag 3.44, 1 Ac 3.62
Ag 0.5000 0.5000 0.5000 x1  8 Ac 3.44
Pt 0.5000 0.5000 0.0000 x1  8 Ac 3.27

Properties
Its formation energy from the elements is -0.6459 eV per atom.

---

Computed, not measured: a relaxed Ac5AgPt4 crystal at the GGA-PBE level of DFT.

Unit cell a=4.4059 b=6.2684 c=22.3237 alpha=90.00 beta=90.00 gamma=90.00
Last column: nearest neighbours and their distance in Å.
Space group Immm (No. 71)
Asymmetric unit:
Ac 0.0000 0.0000 0.0000 x2  4 Pt 3.11, 2 Ag 3.13
Ac 0.0000 0.0000 0.1976 x4  6 Pt 3.12-3.14
Ac 0.0000 0.0000 0.3900 x4  4 Pt 3.03-3.15, 2 Ag 3.30
Ag 0.0000 0.5000 0.0000 x2  6 Ac 3.13-3.30
Pt 0.0000 0.5000 0.2032 x4  6 Ac 3.03-3.14
Pt 0.0000 0.5000 0.4019 x4  6 Ac 3.11-3.15

Properties
Its formation energy from the elements is -0.9906 eV per atom.

---

Computed, not measured: a relaxed Ac2AgPt crystal at the GGA-PBE level of DFT.

Unit cell a=6.3809 b=4.7686 c=8.4431 alpha=90.00 beta=110.97 gamma=90.00
Last column: nearest neighbours and their distance in Å.
Space group P2_1/m (No. 11)
Asymmetric unit:
Ac 0.2199 0.2500 0.4397 x2  3 Pt 3.18-3.19, 3 Ag 3.30-3.31
Ac 0.2354 0.2500 0.9237 x2  3 Pt 3.16-3.40, 4 Ag 3.29-3.39
Ag 0.3322 0.7500 0.2097 x2  2 Pt 3.18, 7 Ac 3.29-3.39
Pt 0.3150 0.7500 0.7063 x2  6 Ac 3.16-3.40, 2 Ag 3.18

Properties
Its formation energy from the elements is -0.7123 eV per atom.

---

Computed, not measured: a relaxed Ac8AgPt6 crystal at the GGA-PBE level of DFT.

Unit cell a=11.4712 b=11.4712 c=4.5712 alpha=90.00 beta=90.00 gamma=120.00
Last column: nearest neighbours and their distance in Å.
Space group P-3 (No. 147)
Asymmetric unit:
Ac 0.0296 0.3475 0.2436 x6  4 Pt 3.01-3.16
Ac 0.3333 0.6667 0.7528 x2  6 Pt 3.10-3.11
Ag 0.0000 0.0000 0.0000 x1  6 Ac 3.99
Pt 0.1477 0.6627 0.2539 x6  6 Ac 3.01-3.16

Properties
Its formation energy from the elements is -0.8813 eV per atom.

---

Computed, not measured: a relaxed AcPuAgPt crystal at the GGA-PBE level of DFT.

Unit cell a=7.4564 b=7.4564 c=7.4564 alpha=90.00 beta=90.00 gamma=90.00
Last column: nearest neighbours and their distance in Å.
Space group F-43m (No. 216)
Asymmetric unit:
Ac 0.0000 0.0000 0.0000 x4  4 Ag 3.23, 4 Pt 3.23
Pu 0.0000 0.0000 0.5000 x4  4 Pt 3.23, 4 Ag 3.23
Ag 0.2500 0.2500 0.7500 x4  4 Ac 3.23, 4 Pu 3.23
Pt 0.2500 0.2500 0.2500 x4  4 Ac 3.23, 4 Pu 3.23

Properties
Its formation energy from the elements is -0.4225 eV per atom.

---

Volume list, top to bottom, in A^3/atom: 20.540; 25.604; 33.450; 34.952; 32.685; 24.695; 26.767; 29.006; 30.827; 29.987; 34.729; 25.910
Magnetic moment list, top to bottom, in μB per atom: 0.00; 0.00; 0.00; 0.00; 0.00; 0.00; 0.00; 0.00; 0.00; 0.00; 0.00; 1.46